Entry 1:
Entry from the Alexandria database: TlIn3O6 after structural relaxation (PBE).

Its electronic total energy is -319.2 eV per cell. Its crystal system is trigonal.

The structure belongs to space group R-3 (No. 148, hexagonal axes); the cell edges are 9.3687, 9.3687 and 11.2110 Å and the angles 90.00°, 90.00° and 120.00°. The inequivalent atoms are Tl at (0.0000, 0.0000, 0.0000), Tl at (0.0000, 0.0000, 0.5000), In at (0.0407, 0.7755, 0.2099), O at (0.0232, 0.7998, 0.4010) and O at (0.0262, 0.8362, 0.8650).

***

Entry 2:
Entry from the Alexandria database: Tl3InO6 after structural relaxation (PBE).

Its electronic total energy is -93.6 eV per cell. Its crystal system is orthorhombic.

The structure belongs to space group Cmmm (No. 65); the cell edges are 7.977, 11.153 and 3.475 Å and the angles 90.00°, 90.00° and 90.00°. The inequivalent atoms are Tl at (0.000, 0.000, 0.000), Tl at (0.250, 0.250, 0.500), In at (0.000, 0.500, 0.000), O at (0.000, 0.372, 0.500) and O at (0.206, 0.125, 0.000).

***

Entry 3:
Entry from the Alexandria database: TlInO2 after structural relaxation (PBE).

Its electronic total energy is -58.8 eV per cell. Its crystal system is trigonal.

The structure belongs to space group R-3m (No. 166, hexagonal axes); the cell edges are 3.3787, 3.3787 and 19.5393 Å and the angles 90.00°, 90.00° and 120.00°. The inequivalent atoms are Tl at (0.0000, 0.0000, 0.0000), In at (0.0000, 0.0000, 0.5000) and O at (0.0000, 0.0000, 0.2240).

***

Entry 4:
Entry from the Alexandria database: TlIn2O4 after structural relaxation (PBE).

Its electronic total energy is -70.5 eV per cell. Its crystal system is orthorhombic.

The structure belongs to space group Pbam (No. 55); the cell edges are 6.449, 10.205 and 3.500 Å and the angles 90.00°, 90.00° and 90.00°. The inequivalent atoms are Tl at (0.000, 0.000, 0.000), In at (0.000, 0.345, 0.500), O at (0.002, 0.236, 0.000) and O at (0.229, 0.500, 0.500).

***

Entry 5:
Entry from the Alexandria database: Tl3In4O8 after structural relaxation (PBE).

Its electronic total energy is -144.1 eV per cell. Its crystal system is monoclinic.

The structure belongs to space group C2/m (No. 12); the cell edges are 9.898, 9.738 and 6.828 Å and the angles 90.00°, 132.89° and 90.00°. The inequivalent atoms are Tl at (0.000, 0.000, 0.000), Tl at (0.250, 0.250, 0.000), In at (0.000, 0.500, 0.000), In at (0.000, 0.500, 0.500), In at (0.250, 0.250, 0.500), O at (0.000, 0.270, 0.500), O at (0.000, 0.275, 0.000), O at (0.196, 0.500, 0.943) and O at (0.205, 0.500, 0.454).

***

Entry 6:
Entry from the Alexandria database: Tm4TlInO after structural relaxation (PBE).

Its electronic total energy is -141.8 eV per cell. Its crystal system is orthorhombic.

The structure belongs to space group Cmcm (No. 63); the cell edges are 6.466, 16.186 and 6.466 Å and the angles 90.00°, 90.00° and 90.00°. The inequivalent atoms are Tm at (0.000, 0.080, 0.250), Tm at (0.000, 0.419, 0.250), Tm at (0.250, 0.250, 0.000), Tl at (0.000, 0.111, 0.750), In at (0.000, 0.389, 0.750) and O at (0.000, 0.251, 0.250).

***

Entry 7:
Entry from the Alexandria database: UTl2InO6 after structural relaxation (PBE).

Its electronic total energy is -133.1 eV per cell. Its crystal system is tetragonal.

The structure belongs to space group I4/mmm (No. 139); the cell edges are 6.043, 6.043 and 8.539 Å and the angles 90.00°, 90.00° and 90.00°. The inequivalent atoms are U at (0.000, 0.000, 0.000), Tl at (0.000, 0.500, 0.250), In at (0.000, 0.000, 0.500), O at (0.000, 0.000, 0.244) and O at (0.244, 0.244, 0.000).

***

Entry 8:
Entry from the Alexandria database: UTlIn2O8 after structural relaxation (PBE).

Its electronic total energy is -158.3 eV per cell. Its crystal system is orthorhombic.

The structure belongs to space group Cmmm (No. 65); the cell edges are 6.970, 7.190 and 6.878 Å and the angles 90.00°, 90.00° and 90.00°. The inequivalent atoms are U at (0.000, 0.000, 0.000), Tl at (0.000, 0.000, 0.500), In at (0.000, 0.500, 0.252), O at (0.000, 0.196, 0.220), O at (0.193, 0.500, 0.500) and O at (0.199, 0.500, 0.000).

***

Entry 9:
Entry from the Alexandria database: U3Tl4InO12 after structural relaxation (PBE).

Its electronic total energy is -300.7 eV per cell. Its crystal system is cubic.

The structure belongs to space group Im-3m (No. 229); the cell edges are 8.644, 8.644 and 8.644 Å and the angles 90.00°, 90.00° and 90.00°. The inequivalent atoms are U at (0.000, 0.000, 0.500), Tl at (0.250, 0.250, 0.250), In at (0.000, 0.000, 0.000), O at (0.000, 0.000, 0.263) and O at (0.000, 0.250, 0.500).

***

| no. | formation energy from raw total energies (eV/atom) |
| --- | --- |
| 1 | -1.287 |
| 2 | -0.723 |
| 3 | -1.145 |
| 4 | -1.081 |
| 5 | -0.955 |
| 6 | -1.072 |
| 7 | -1.804 |
| 8 | -1.697 |
| 9 | -2.240 |